Pr3YTm2: relaxed, GGA-PBE.

abc: 9.907 3.499 12.359
angles: 90.00 107.24 90.00
Fractional coordinates of all 12 atoms:
Pr (0.075, 0.250, 0.394)
Pr (0.123, 0.750, 0.135)
Pr (0.197, 0.750, 0.875)
Pr (0.803, 0.250, 0.125)
Pr (0.877, 0.250, 0.865)
Pr (0.925, 0.750, 0.606)
Y (0.311, 0.750, 0.636)
Y (0.689, 0.250, 0.364)
Tm (0.397, 0.750, 0.386)
Tm (0.484, 0.750, 0.122)
Tm (0.516, 0.250, 0.878)
Tm (0.603, 0.250, 0.614)

Properties
space group = P2_1/m, No. 11
DOS(E_F) = 1.66 states/eV per atom
calculated formation energy = 148 meV/atom
crystal system = monoclinic
relative energy among the computed polymorphs = 0.036 eV/atom